No. 1
# Ac2PaBi | Alexandria | GGA-PBE | relaxed
data_Ac2PaBi
_chemical_formula_sum 'Ac2 Pa1 Bi1'
_space_group_name_H-M_alt 'P 1'
_space_group_IT_number 1
_space_group_name_Hall 'P 1'
_cell_length_a 4.121
_cell_length_b 4.121
_cell_length_c 8.426
_cell_angle_alpha 90.00
_cell_angle_beta 90.00
_cell_angle_gamma 90.00
loop_
_atom_site_label
_atom_site_fract_x
_atom_site_fract_y
_atom_site_fract_z
Ac1 0.000 0.000 0.233
Ac2 0.000 0.000 0.767
Pa1 0.500 0.500 0.500
Bi1 0.500 0.500 0.000
# energy above the most stable polymorph in this dataset	0.0120	eV per atom
# mass density	10.37	g cm⁻³
# calculated formation energy	0.02	eV/atom


No. 2
# Ag2BiSbSe4 | Alexandria | GGA-PBE | relaxed
data_Ag2BiSbSe4
_chemical_formula_sum 'Ag4 Bi2 Sb2 Se8'
_space_group_name_H-M_alt 'P 1'
_space_group_IT_number 1
_space_group_name_Hall 'P 1'
_cell_length_a 8.253
_cell_length_b 8.253
_cell_length_c 8.253
_cell_angle_alpha 120.21
_cell_angle_beta 119.79
_cell_angle_gamma 90.00
loop_
_atom_site_label
_atom_site_fract_x
_atom_site_fract_y
_atom_site_fract_z
Ag1 0.000 0.000 0.000
Ag2 0.500 0.000 0.000
Ag3 0.500 0.000 0.500
Ag4 0.500 0.500 0.500
Bi1 0.000 0.500 0.500
Bi2 0.500 0.500 0.000
Sb1 0.000 0.000 0.500
Sb2 0.000 0.500 0.000
Se1 0.247 0.246 0.001
Se2 0.251 0.242 0.491
Se3 0.251 0.759 0.009
Se4 0.256 0.754 0.501
Se5 0.744 0.246 0.499
Se6 0.749 0.241 0.991
Se7 0.749 0.758 0.509
Se8 0.753 0.754 0.999
# energy above the most stable polymorph in this dataset	0.0000	eV per atom
# mass density	7.20	g cm⁻³
# formation energy without anion corrections	-0.22	eV per atom


No. 3
# K4Ru3 | Alexandria | GGA-PBE | relaxed
data_K4Ru3
_chemical_formula_sum 'K4 Ru3'
_space_group_name_H-M_alt 'P 1'
_space_group_IT_number 1
_space_group_name_Hall 'P 1'
_cell_length_a 5.452
_cell_length_b 5.452
_cell_length_c 6.579
_cell_angle_alpha 90.00
_cell_angle_beta 90.00
_cell_angle_gamma 120.00
loop_
_atom_site_label
_atom_site_fract_x
_atom_site_fract_y
_atom_site_fract_z
K1 0.000 0.000 0.250
K2 0.000 0.000 0.750
K3 0.333 0.667 0.000
K4 0.667 0.333 0.000
Ru1 0.000 0.500 0.500
Ru2 0.500 0.000 0.500
Ru3 0.500 0.500 0.500
# mass density	4.51	g cm⁻³
# calculated formation energy	1.05	eV/atom


No. 4
# KMgIn | Alexandria | GGA-PBE | relaxed
data_KMgIn
_chemical_formula_sum 'K1 Mg1 In1'
_space_group_name_H-M_alt 'P 1'
_space_group_IT_number 1
_space_group_name_Hall 'P 1'
_cell_length_a 5.406
_cell_length_b 5.406
_cell_length_c 5.406
_cell_angle_alpha 60.00
_cell_angle_beta 60.00
_cell_angle_gamma 60.00
loop_
_atom_site_label
_atom_site_fract_x
_atom_site_fract_y
_atom_site_fract_z
K1 0.000 0.000 0.000
Mg1 0.250 0.250 0.250
In1 0.500 0.500 0.500
# energy above the most stable polymorph in this dataset	0.2947	eV per atom
# mass density	2.65	g cm⁻³
# calculated formation energy	0.23	eV/atom


No. 5
# TeAuCN2 | Alexandria | GGA-PBE | relaxed
data_TeAuCN2
_chemical_formula_sum 'Te1 Au1 C1 N2'
_space_group_name_H-M_alt 'P 1'
_space_group_IT_number 1
_space_group_name_Hall 'P 1'
_cell_length_a 3.828
_cell_length_b 3.828
_cell_length_c 4.745
_cell_angle_alpha 90.00
_cell_angle_beta 90.00
_cell_angle_gamma 90.00
loop_
_atom_site_label
_atom_site_fract_x
_atom_site_fract_y
_atom_site_fract_z
Te1 0.000 0.000 0.000
Au1 0.500 0.500 0.000
C1 0.000 0.000 0.500
N1 0.000 0.500 0.500
N2 0.500 0.000 0.500
# energy above the most stable polymorph in this dataset	0.0000	eV per atom
# mass density	8.70	g cm⁻³
# formation energy without anion corrections	2.38	eV per atom


No. 6
# CsAgHgI2 | Alexandria | GGA-PBE | relaxed
data_CsAgHgI2
_chemical_formula_sum 'Cs1 Ag1 Hg1 I2'
_space_group_name_H-M_alt 'P 1'
_space_group_IT_number 1
_space_group_name_Hall 'P 1'
_cell_length_a 6.055
_cell_length_b 6.055
_cell_length_c 5.636
_cell_angle_alpha 90.00
_cell_angle_beta 90.00
_cell_angle_gamma 90.00
loop_
_atom_site_label
_atom_site_fract_x
_atom_site_fract_y
_atom_site_fract_z
Cs1 0.000 0.000 0.000
Ag1 0.500 0.500 0.500
Hg1 0.500 0.500 0.000
I1 0.000 0.500 0.500
I2 0.500 0.000 0.500
# mass density	5.59	g cm⁻³
# formation energy without anion corrections	-0.67	eV per atom


No. 7
# HoTm2Tc | Alexandria | GGA-PBE | relaxed
data_HoTm2Tc
_chemical_formula_sum 'Ho1 Tm2 Tc1'
_space_group_name_H-M_alt 'P 1'
_space_group_IT_number 1
_space_group_name_Hall 'P 1'
_cell_length_a 5.608
_cell_length_b 5.608
_cell_length_c 5.608
_cell_angle_alpha 50.94
_cell_angle_beta 50.94
_cell_angle_gamma 50.94
loop_
_atom_site_label
_atom_site_fract_x
_atom_site_fract_y
_atom_site_fract_z
Ho1 0.000 0.000 0.000
Tm1 0.228 0.228 0.228
Tm2 0.772 0.772 0.772
Tc1 0.500 0.500 0.500
# energy above the most stable polymorph in this dataset	0.2865	eV per atom
# mass density	10.17	g cm⁻³
# calculated formation energy	0.14	eV/atom


No. 8
# Nd2Cd16Sb | Alexandria | GGA-PBE | relaxed
data_Nd2Cd16Sb
_chemical_formula_sum 'Nd2 Cd16 Sb1'
_space_group_name_H-M_alt 'P 1'
_space_group_IT_number 1
_space_group_name_Hall 'P 1'
_cell_length_a 7.697
_cell_length_b 7.697
_cell_length_c 7.697
_cell_angle_alpha 84.13
_cell_angle_beta 84.13
_cell_angle_gamma 84.13
loop_
_atom_site_label
_atom_site_fract_x
_atom_site_fract_y
_atom_site_fract_z
Nd1 0.000 0.000 0.000
Nd2 0.336 0.336 0.336
Cd1 0.022 0.022 0.482
Cd2 0.022 0.482 0.022
Cd3 0.145 0.681 0.681
Cd4 0.318 0.318 0.826
Cd5 0.318 0.826 0.318
Cd6 0.352 0.664 0.983
Cd7 0.352 0.983 0.664
Cd8 0.482 0.022 0.022
Cd9 0.664 0.352 0.983
Cd10 0.664 0.983 0.352
Cd11 0.681 0.145 0.681
Cd12 0.681 0.681 0.145
Cd13 0.764 0.764 0.764
Cd14 0.826 0.318 0.318
Cd15 0.983 0.352 0.664
Cd16 0.983 0.664 0.352
Sb1 0.557 0.557 0.557
# mass density	8.16	g cm⁻³
# formation energy without anion corrections	-0.15	eV per atom


No. 9
# Pu2PaBi | Alexandria | GGA-PBE | relaxed
data_Pu2PaBi
_chemical_formula_sum 'Pu2 Pa1 Bi1'
_space_group_name_H-M_alt 'P 1'
_space_group_IT_number 1
_space_group_name_Hall 'P 1'
_cell_length_a 4.001
_cell_length_b 4.001
_cell_length_c 6.596
_cell_angle_alpha 90.00
_cell_angle_beta 90.00
_cell_angle_gamma 90.00
loop_
_atom_site_label
_atom_site_fract_x
_atom_site_fract_y
_atom_site_fract_z
Pu1 0.000 0.000 0.250
Pu2 0.000 0.000 0.750
Pa1 0.500 0.500 0.000
Bi1 0.500 0.500 0.500
# energy above the most stable polymorph in this dataset	0.0157	eV per atom
# mass density	14.59	g cm⁻³
# calculated formation energy	-0.08	eV/atom


No. 10
# CaY2Cd2 | Alexandria | GGA-PBE | relaxed
data_CaY2Cd2
_chemical_formula_sum 'Ca2 Y4 Cd4'
_space_group_name_H-M_alt 'P 1'
_space_group_IT_number 1
_space_group_name_Hall 'P 1'
_cell_length_a 14.047
_cell_length_b 14.047
_cell_length_c 5.431
_cell_angle_alpha 90.00
_cell_angle_beta 90.00
_cell_angle_gamma 164.62
loop_
_atom_site_label
_atom_site_fract_x
_atom_site_fract_y
_atom_site_fract_z
Ca1 0.145 0.855 0.750
Ca2 0.855 0.145 0.250
Y1 0.047 0.953 0.250
Y2 0.234 0.766 0.250
Y3 0.766 0.234 0.750
Y4 0.953 0.047 0.750
Cd1 0.358 0.642 0.750
Cd2 0.454 0.546 0.250
Cd3 0.546 0.454 0.750
Cd4 0.642 0.358 0.250
# energy above the most stable polymorph in this dataset	0.0000	eV per atom
# mass density	5.17	g cm⁻³
# calculated formation energy	-0.27	eV/atom


No. 11
# Ca3Cl | Alexandria | GGA-PBE | relaxed
data_Ca3Cl
_chemical_formula_sum 'Ca3 Cl1'
_space_group_name_H-M_alt 'P 1'
_space_group_IT_number 1
_space_group_name_Hall 'P 1'
_cell_length_a 10.697
_cell_length_b 10.697
_cell_length_c 10.697
_cell_angle_alpha 20.85
_cell_angle_beta 20.85
_cell_angle_gamma 20.85
loop_
_atom_site_label
_atom_site_fract_x
_atom_site_fract_y
_atom_site_fract_z
Ca1 0.000 0.000 0.000
Ca2 0.234 0.234 0.234
Ca3 0.766 0.766 0.766
Cl1 0.500 0.500 0.500
# energy above the most stable polymorph in this dataset	0.0000	eV per atom
# mass density	1.90	g cm⁻³
# formation energy without anion corrections	-0.78	eV per atom


No. 12
# Cs4Tl2GeAs2 | Alexandria | GGA-PBE | relaxed
data_Cs4Tl2GeAs2
_chemical_formula_sum 'Cs4 Tl2 Ge1 As2'
_space_group_name_H-M_alt 'P 1'
_space_group_IT_number 1
_space_group_name_Hall 'P 1'
_cell_length_a 7.861
_cell_length_b 7.861
_cell_length_c 8.502
_cell_angle_alpha 117.06
_cell_angle_beta 117.06
_cell_angle_gamma 87.77
loop_
_atom_site_label
_atom_site_fract_x
_atom_site_fract_y
_atom_site_fract_z
Cs1 0.179 0.772 0.731
Cs2 0.228 0.821 0.269
Cs3 0.772 0.179 0.731
Cs4 0.821 0.228 0.269
Tl1 0.329 0.329 0.879
Tl2 0.671 0.671 0.121
Ge1 0.500 0.500 0.500
As1 0.269 0.269 0.169
As2 0.731 0.731 0.831
# mass density	4.74	g cm⁻³
# calculated formation energy	-0.12	eV/atom


No. 13
# MgTa2Ag | Alexandria | GGA-PBE | relaxed
data_MgTa2Ag
_chemical_formula_sum 'Mg1 Ta2 Ag1'
_space_group_name_H-M_alt 'P 1'
_space_group_IT_number 1
_space_group_name_Hall 'P 1'
_cell_length_a 10.390
_cell_length_b 10.390
_cell_length_c 10.390
_cell_angle_alpha 15.97
_cell_angle_beta 15.97
_cell_angle_gamma 15.97
loop_
_atom_site_label
_atom_site_fract_x
_atom_site_fract_y
_atom_site_fract_z
Mg1 0.000 0.000 0.000
Ta1 0.248 0.248 0.248
Ta2 0.752 0.752 0.752
Ag1 0.500 0.500 0.500
# mass density	11.08	g cm⁻³
# calculated formation energy	0.33	eV/atom


No. 14
# ScTi2Ni | Alexandria | GGA-PBE | relaxed
data_ScTi2Ni
_chemical_formula_sum 'Sc2 Ti4 Ni2'
_space_group_name_H-M_alt 'P 1'
_space_group_IT_number 1
_space_group_name_Hall 'P 1'
_cell_length_a 5.793
_cell_length_b 5.793
_cell_length_c 5.793
_cell_angle_alpha 102.81
_cell_angle_beta 102.81
_cell_angle_gamma 123.81
loop_
_atom_site_label
_atom_site_fract_x
_atom_site_fract_y
_atom_site_fract_z
Sc1 0.000 0.000 0.000
Sc2 0.750 0.250 0.500
Ti1 0.185 0.125 0.560
Ti2 0.375 0.815 0.940
Ti3 0.565 0.625 0.440
Ti4 0.875 0.435 0.060
Ni1 0.250 0.750 0.500
Ni2 0.500 0.500 0.000
# energy above the most stable polymorph in this dataset	0.1190	eV per atom
# mass density	4.65	g cm⁻³
# calculated formation energy	0.05	eV/atom


No. 15
# Pm6Bi2As3Se | Alexandria | GGA-PBE | relaxed
data_Pm6Bi2As3Se
_chemical_formula_sum 'Pm6 Bi2 As3 Se1'
_space_group_name_H-M_alt 'P 1'
_space_group_IT_number 1
_space_group_name_Hall 'P 1'
_cell_length_a 9.736
_cell_length_b 9.736
_cell_length_c 8.740
_cell_angle_alpha 103.49
_cell_angle_beta 103.49
_cell_angle_gamma 25.71
loop_
_atom_site_label
_atom_site_fract_x
_atom_site_fract_y
_atom_site_fract_z
Pm1 0.005 0.005 0.246
Pm2 0.333 0.333 0.432
Pm3 0.339 0.339 0.904
Pm4 0.661 0.661 0.096
Pm5 0.667 0.667 0.568
Pm6 0.995 0.995 0.754
Bi1 0.166 0.166 0.832
Bi2 0.834 0.834 0.168
As1 0.167 0.167 0.335
As2 0.500 0.500 0.000
As3 0.833 0.833 0.665
Se1 0.500 0.500 0.500
# mass density	7.58	g cm⁻³
# formation energy without anion corrections	-1.39	eV per atom


No. 16
# YHgRu | Alexandria | GGA-PBE | relaxed
data_YHgRu
_chemical_formula_sum 'Y1 Hg1 Ru1'
_space_group_name_H-M_alt 'P 1'
_space_group_IT_number 1
_space_group_name_Hall 'P 1'
_cell_length_a 4.639
_cell_length_b 4.639
_cell_length_c 3.523
_cell_angle_alpha 90.00
_cell_angle_beta 90.00
_cell_angle_gamma 120.00
loop_
_atom_site_label
_atom_site_fract_x
_atom_site_fract_y
_atom_site_fract_z
Y1 0.000 0.000 0.000
Hg1 0.667 0.333 0.500
Ru1 0.333 0.667 0.500
# energy above the most stable polymorph in this dataset	0.1607	eV per atom
# mass density	9.88	g cm⁻³
# calculated formation energy	-0.04	eV/atom


No. 17
# CeMg3As3 | Alexandria | GGA-PBE | relaxed
data_CeMg3As3
_chemical_formula_sum 'Ce2 Mg6 As6'
_space_group_name_H-M_alt 'P 1'
_space_group_IT_number 1
_space_group_name_Hall 'P 1'
_cell_length_a 8.288
_cell_length_b 8.288
_cell_length_c 8.288
_cell_angle_alpha 55.00
_cell_angle_beta 55.00
_cell_angle_gamma 55.00
loop_
_atom_site_label
_atom_site_fract_x
_atom_site_fract_y
_atom_site_fract_z
Ce1 0.167 0.167 0.167
Ce2 0.833 0.833 0.833
Mg1 0.070 0.374 0.697
Mg2 0.303 0.930 0.626
Mg3 0.374 0.697 0.070
Mg4 0.626 0.303 0.930
Mg5 0.697 0.070 0.374
Mg6 0.930 0.626 0.303
As1 0.065 0.765 0.421
As2 0.235 0.579 0.935
As3 0.421 0.065 0.765
As4 0.579 0.935 0.235
As5 0.765 0.421 0.065
As6 0.935 0.235 0.579
# mass density	4.09	g cm⁻³
# calculated formation energy	-0.81	eV/atom


No. 18
# Ba2FeSe | Alexandria | GGA-PBE | relaxed
data_Ba2FeSe
_chemical_formula_sum 'Ba2 Fe1 Se1'
_space_group_name_H-M_alt 'P 1'
_space_group_IT_number 1
_space_group_name_Hall 'P 1'
_cell_length_a 4.052
_cell_length_b 4.044
_cell_length_c 7.999
_cell_angle_alpha 90.00
_cell_angle_beta 92.67
_cell_angle_gamma 90.00
loop_
_atom_site_label
_atom_site_fract_x
_atom_site_fract_y
_atom_site_fract_z
Ba1 0.016 0.000 0.239
Ba2 0.984 0.000 0.761
Fe1 0.500 0.500 0.500
Se1 0.500 0.500 0.000
# mass density	5.19	g cm⁻³
# formation energy without anion corrections	-0.39	eV per atom


No. 19
# Na3TePd | Alexandria | GGA-PBE | relaxed
data_Na3TePd
_chemical_formula_sum 'Na3 Te1 Pd1'
_space_group_name_H-M_alt 'P 1'
_space_group_IT_number 1
_space_group_name_Hall 'P 1'
_cell_length_a 5.328
_cell_length_b 5.328
_cell_length_c 5.328
_cell_angle_alpha 90.00
_cell_angle_beta 90.00
_cell_angle_gamma 90.00
loop_
_atom_site_label
_atom_site_fract_x
_atom_site_fract_y
_atom_site_fract_z
Na1 0.000 0.000 0.500
Na2 0.000 0.500 0.000
Na3 0.500 0.000 0.000
Te1 0.500 0.500 0.500
Pd1 0.000 0.000 0.000
# energy above the most stable polymorph in this dataset	0.0000	eV per atom
# mass density	3.33	g cm⁻³
# formation energy without anion corrections	-0.09	eV per atom


No. 20
# KTa2Cu | Alexandria | GGA-PBE | relaxed
data_KTa2Cu
_chemical_formula_sum 'K1 Ta2 Cu1'
_space_group_name_H-M_alt 'P 1'
_space_group_IT_number 1
_space_group_name_Hall 'P 1'
_cell_length_a 6.165
_cell_length_b 6.165
_cell_length_c 6.165
_cell_angle_alpha 142.93
_cell_angle_beta 142.93
_cell_angle_gamma 53.44
loop_
_atom_site_label
_atom_site_fract_x
_atom_site_fract_y
_atom_site_fract_z
K1 0.000 0.000 0.000
Ta1 0.250 0.750 0.500
Ta2 0.750 0.250 0.500
Cu1 0.500 0.500 0.000
# energy above the most stable polymorph in this dataset	0.7863	eV per atom
# mass density	9.12	g cm⁻³
# calculated formation energy	1.37	eV/atom